Record 1
Density functional theory data (PBE-GGA) for a geometry-optimized Cs2YAlO4 structure.

Results
total moment: 0.000 μB per cell
raw total energy: -6.255 eV per atom
ρ: 3.518 g cm⁻³
uncorrected formation energy: -2.287 eV per atom

Cell: 5.5603 12.7948 23.6594 Å, 90.00 90.00 90.00°
Space group Fddd (No. 70, origin choice 2)
Inequivalent atoms, fractional coordinates:
Cs 0.1250 0.1250 0.3046 x16
Y 0.1250 0.1250 0.1250 x8
Al 0.1250 0.1250 0.6250 x8
O 0.0824 0.2934 0.8359 x32



Record 2
Density functional theory data (PBE-GGA) for a geometry-optimized CsAl2Os structure.

Results
calculated formation energy: 1.260 eV/atom
total moment: 0.000 μB per cell
raw total energy: -3.632 eV per atom
ρ: 7.405 g cm⁻³
excess energy over the best structure of this formula in the dataset: 82.7 kJ per mole of atoms

Cell: 6.9676 6.9676 6.9676 Å, 90.00 90.00 90.00°
Space group Fm-3m (No. 225)
Inequivalent atoms, fractional coordinates:
Cs 0.0000 0.0000 0.0000 x4
Al 0.2500 0.2500 0.2500 x8
Os 0.0000 0.0000 0.5000 x4



Record 3
Density functional theory data (PBE-GGA) for a geometry-optimized CsAl2Os structure.

Results
calculated formation energy: 0.404 eV/atom
total moment: 0.000 μB per cell
raw total energy: -4.489 eV per atom
ρ: 4.031 g cm⁻³
excess energy over the best structure of this formula in the dataset: 0.0 kJ per mole of atoms

Cell: 7.2446 7.2446 11.8389 Å, 90.00 90.00 90.00°
Space group I4_1/amd (No. 141, origin choice 2)
Inequivalent atoms, fractional coordinates:
Cs 0.0000 0.2500 0.3750 x4
Al 0.0000 0.0000 0.0000 x8
Os 0.0000 0.2500 0.8750 x4



Record 4
Density functional theory data (PBE-GGA) for a geometry-optimized CsAl2ReOs structure.

Results
calculated formation energy: 0.851 eV/atom
total moment: 0.915 μB per cell
raw total energy: -5.553 eV per atom
ρ: 7.545 g cm⁻³

Cell: 5.0614 5.0614 4.8394 Å, 90.00 90.00 90.00°
Space group P4/mmm (No. 123)
Inequivalent atoms, fractional coordinates:
Cs 0.0000 0.0000 0.0000 x1
Al 0.0000 0.5000 0.5000 x2
Re 0.5000 0.5000 0.5000 x1
Os 0.5000 0.5000 0.0000 x1



Record 5
Density functional theory data (PBE-GGA) for a geometry-optimized Cs3AlP structure.

Results
calculated formation energy: 0.410 eV/atom
total moment: 2.854 μB per cell
raw total energy: -1.932 eV per atom
ρ: 2.330 g cm⁻³

Cell: 6.8789 6.8789 6.8789 Å, 90.00 90.00 90.00°
Space group Pm-3m (No. 221)
Inequivalent atoms, fractional coordinates:
Cs 0.0000 0.0000 0.5000 x3
Al 0.5000 0.5000 0.5000 x1
P 0.0000 0.0000 0.0000 x1



Record 6
Density functional theory data (PBE-GGA) for a geometry-optimized CsAl3P structure.

Results
calculated formation energy: 0.567 eV/atom
total moment: 0.000 μB per cell
raw total energy: -2.931 eV per atom
ρ: 2.861 g cm⁻³
excess energy over the best structure of this formula in the dataset: 0.0 kJ per mole of atoms

Cell: 5.2183 5.2183 5.2183 Å, 90.00 90.00 90.00°
Space group Pm-3m (No. 221)
Inequivalent atoms, fractional coordinates:
Cs 0.0000 0.0000 0.0000 x1
Al 0.0000 0.5000 0.5000 x3
P 0.5000 0.5000 0.5000 x1



Record 7
Density functional theory data (PBE-GGA) for a geometry-optimized CsAl2P structure.

Results
calculated formation energy: 0.244 eV/atom
total moment: 0.000 μB per cell
raw total energy: -3.193 eV per atom
ρ: 3.015 g cm⁻³

Cell: 8.2395 8.2395 7.0686 Å, 90.00 90.00 90.00°
Space group I-42d (No. 122)
Inequivalent atoms, fractional coordinates:
Cs 0.0000 0.0000 0.0000 x4
Al 0.1487 0.2500 0.6250 x8
P 0.0000 0.0000 0.5000 x4



Record 8
Density functional theory data (PBE-GGA) for a geometry-optimized CsAlP3 structure.

Results
calculated formation energy: 0.397 eV/atom
total moment: 0.000 μB per cell
raw total energy: -3.768 eV per atom
ρ: 3.535 g cm⁻³
excess energy over the best structure of this formula in the dataset: 0.0 kJ per mole of atoms

Cell: 4.9152 4.9152 4.9152 Å, 90.00 90.00 90.00°
Space group Pm-3m (No. 221)
Inequivalent atoms, fractional coordinates:
Cs 0.0000 0.0000 0.0000 x1
Al 0.5000 0.5000 0.5000 x1
P 0.0000 0.5000 0.5000 x3